Record 1
The following is a PBE calculation of a geometry-optimized YTaCr2 structure, from the Alexandria database.

Properties
raw total energy	-8.72	eV/atom
space group	No. 47
N(E_F)	5.2	states/eV per cell
total magnetization	1.6	μB/cell

a = 3.4267 Å, b = 4.8623 Å, c = 4.4080 Å
α = 90.00°, β = 90.00°, γ = 90.00°
Closest atoms and distances in Å follow each position.
Positions (direct):
1 Cr 0.5000 0.5000 0.0000  4 Y 2.79, 4 Cr 2.97
2 Cr 0.0000 0.0000 0.0000  4 Ta 2.79, 4 Cr 2.97
3 Ta 0.5000 0.0000 0.5000  4 Cr 2.79, 4 Y 2.97
4 Y 0.0000 0.5000 0.5000  4 Cr 2.79, 4 Ta 2.97



Record 2
The following is a PBE calculation of a geometry-optimized Ho3Hg4Pb structure, from the Alexandria database.

Properties
raw total energy	-2.72	eV/atom
space group	No. 166
N(E_F)	4.4	states/eV per cell
total magnetization	0.0	μB/cell

a = 5.2192 Å, b = 5.2192 Å, c = 9.2096 Å
α = 73.54°, β = 73.54°, γ = 60.00°
Closest atoms and distances in Å follow each position.
Positions (direct):
1 Hg 0.6185 0.6185 0.1445  5 Ho 3.09-3.29, 3 Pb 3.27
2 Hg 0.1321 0.1321 0.6038  7 Ho 3.15-3.33, 1 Pb 3.45, 3 Hg 3.51
3 Hg 0.3815 0.3815 0.8555  5 Ho 3.09-3.29, 3 Pb 3.27
4 Hg 0.8679 0.8679 0.3962  7 Ho 3.15-3.33, 1 Pb 3.45, 3 Hg 3.51
5 Ho 0.7446 0.7446 0.7662  8 Hg 3.11-3.33
6 Ho 0.2554 0.2554 0.2338  8 Hg 3.11-3.33
7 Ho 0.5000 0.5000 0.5000  8 Hg 3.09-3.15
8 Pb 0.0000 0.0000 0.0000  8 Hg 3.27-3.45, 6 Ho 3.64



Record 3
The following is a PBE calculation of a geometry-optimized KRbTe2I structure, from the Alexandria database.

Properties
raw total energy	-2.21	eV/atom
space group	No. 123
N(E_F)	5.9	states/eV per cell
total magnetization	3.0	μB/cell

a = 6.5251 Å, b = 6.5251 Å, c = 6.6035 Å
α = 90.00°, β = 90.00°, γ = 90.00°
Closest atoms and distances in Å follow each position.
Positions (direct):
1 I 0.0000 0.0000 0.5000  2 K 3.30
2 Te 0.5000 0.0000 0.0000  2 K 3.26
3 Te 0.0000 0.5000 0.0000  2 K 3.26
4 Rb 0.5000 0.5000 0.5000  4 I 4.61, 8 Te 4.64
5 K 0.0000 0.0000 0.0000  4 Te 3.26, 2 I 3.30



Record 4
The following is a PBE calculation of a geometry-optimized MnTe2Au structure, from the Alexandria database.

Properties
raw total energy	-4.73	eV/atom
space group	No. 141
N(E_F)	3.2	states/eV per cell
total magnetization	8.4	μB/cell

a = 5.7160 Å, b = 5.7160 Å, c = 7.2192 Å
α = 66.68°, β = 66.68°, γ = 90.00°
Closest atoms and distances in Å follow each position.
Positions (direct):
1 Au 0.7500 0.2500 0.5000  6 Te 2.86-3.17
2 Au 0.0000 0.0000 0.0000  6 Te 2.86-3.17
3 Mn 0.2500 0.7500 0.5000  6 Te 2.81-2.86
4 Mn 0.5000 0.5000 0.0000  6 Te 2.81-2.86
5 Te 0.7352 0.7352 0.5296  3 Mn 2.81-2.86, 2 Au 2.86
6 Te 0.4852 0.9852 0.0296  3 Mn 2.81-2.86, 2 Au 2.86
7 Te 0.0148 0.5148 0.9704  3 Mn 2.81-2.86, 2 Au 2.86
8 Te 0.2648 0.2648 0.4704  3 Mn 2.81-2.86, 2 Au 2.86



Record 5
The following is a PBE calculation of a geometry-optimized Rb3OsO6 structure, from the Alexandria database.

Properties
raw total energy	-5.60	eV/atom
space group	No. 12
N(E_F)	10.1	states/eV per cell
total magnetization	1.0	μB/cell

a = 6.6091 Å, b = 6.4332 Å, c = 6.4332 Å
α = 60.11°, β = 60.96°, γ = 60.96°
Closest atoms and distances in Å follow each position.
Positions (direct):
1 O 0.3491 0.6621 0.2530  1 Os 1.87
2 O 0.7672 0.3062 0.3062  1 Os 1.87
3 O 0.2328 0.6938 0.6938  1 Os 1.87
4 O 0.6509 0.7470 0.3379  1 Os 1.87
5 O 0.6509 0.3379 0.7470  1 Os 1.87
6 O 0.3491 0.2530 0.6621  1 Os 1.87
7 Rb 0.7345 0.7562 0.7562  7 O 2.96-3.30
8 Rb 0.2655 0.2438 0.2438  7 O 2.96-3.30
9 Rb 0.0000 0.0000 0.0000  6 O 2.82-2.85
10 Os 0.5000 0.5000 0.5000  6 O 1.87



Record 6
The following is a PBE calculation of a geometry-optimized AcW2S8 structure, from the Alexandria database.

Properties
raw total energy	-6.34	eV/atom
space group	No. 12
N(E_F)	3.2	states/eV per cell
total magnetization	0.0	μB/cell

a = 4.6098 Å, b = 7.0787 Å, c = 7.0787 Å
α = 114.57°, β = 92.53°, γ = 92.53°
Closest atoms and distances in Å follow each position.
Positions (direct):
1 S 0.9743 0.9503 0.6756  2 W 2.46-2.60
2 S 0.5000 0.2561 0.7439  2 W 2.43
3 S 0.0257 0.0497 0.3244  2 W 2.46-2.60
4 S 0.6921 0.4275 0.4275  1 S 2.16
5 S 0.3079 0.5725 0.5725  1 S 2.16
6 S 0.9743 0.6756 0.9503  2 W 2.46-2.60
7 S 0.5000 0.7439 0.2561  2 W 2.43
8 S 0.0257 0.3244 0.0497  2 W 2.46-2.60
9 W 0.0000 0.6806 0.3194  8 S 2.43-2.61
10 W 0.0000 0.3194 0.6806  8 S 2.43-2.61
11 Ac 0.5000 0.0000 0.0000  12 S 3.05-3.32